Entry 1:
TbZrCo: relaxed, PBE-GGA.

a b c (Å): 3.458 6.357 6.882
angles (deg): 117.47 104.52 90.00
Atoms (fractional coordinates):
Tb: 0.691 0.615 0.500
Tb: 0.120 0.044 0.358
Zr: 0.405 0.574 0.929
Zr: 0.405 0.085 0.929
Co: 0.796 0.220 0.711
Co: 0.014 0.438 0.147

Properties
SG: Immm
V: 21.46 Å³ per atom
offset from the most stable computed form: 0 meV per atom
crystal system: orthorhombic
uncorrected energy: -41.6 eV per cell



Entry 2:
ZrAl6Ga2: relaxed, PBE-GGA.

a b c (Å): 3.854 8.654 5.331
angles (deg): 107.98 111.19 90.00
Atoms (fractional coordinates):
Zr: 0.500 0.500 0.000
Al: 0.482 0.831 0.965
Al: 0.518 0.169 0.035
Al: 0.838 0.944 0.676
Al: 0.179 0.389 0.358
Al: 0.162 0.056 0.324
Al: 0.821 0.611 0.642
Ga: 0.842 0.259 0.684
Ga: 0.158 0.741 0.316

Properties
SG: C2/m
V: 17.38 Å³ per atom
crystal system: monoclinic
uncorrected energy: -38.5 eV per cell



Entry 3:
Hf2ZrIr2: relaxed, PBE-GGA.

a b c (Å): 7.961 7.961 2.982
angles (deg): 90.00 90.00 90.00
Atoms (fractional coordinates):
Ir: 0.152 0.652 0.500
Ir: 0.652 0.848 0.500
Ir: 0.848 0.348 0.500
Ir: 0.348 0.152 0.500
Hf: 0.355 0.855 0.000
Hf: 0.855 0.645 0.000
Hf: 0.645 0.145 0.000
Hf: 0.145 0.355 0.000
Zr: 0.000 0.000 0.000
Zr: 0.500 0.500 0.000

Properties
SG: P4/mbm
V: 18.90 Å³ per atom
offset from the most stable computed form: 86 meV per atom
crystal system: tetragonal
uncorrected energy: -98.5 eV per cell



Entry 4:
Mg2RuPt: relaxed, PBE-GGA.

a b c (Å): 5.068 5.068 5.068
angles (deg): 135.20 135.20 65.22
Atoms (fractional coordinates):
Mg: 0.000 0.000 0.000
Mg: 0.250 0.750 0.500
Pt: 0.500 0.500 0.000
Ru: 0.750 0.250 0.500

Properties
SG: I-4m2
V: 15.92 Å³ per atom
crystal system: tetragonal
uncorrected energy: -19.4 eV per cell



Entry 5:
Co2CuSnPd: relaxed, PBE-GGA.

a b c (Å): 4.648 4.648 4.938
angles (deg): 90.00 90.00 90.00
Site moments in Bohr magnetons follow the coordinates.
Atoms (fractional coordinates):
Cu: 0.500 0.500 0.500  0.00
Co: 0.000 0.500 0.000  2.09
Co: 0.500 0.000 0.000  2.09
Sn: 0.000 0.000 0.500  0.05
Pd: 0.000 0.000 0.000  0.28

Properties
SG: P4/mmm
V: 21.34 Å³ per atom
crystal system: tetragonal
uncorrected energy: -21.7 eV per cell



Entry 6:
RbMgAs2Se: relaxed, PBE-GGA.

a b c (Å): 5.142 5.142 5.369
angles (deg): 90.00 90.00 90.00
Atoms (fractional coordinates):
Mg: 0.000 0.000 0.000
As: 0.000 0.500 0.000
As: 0.500 0.000 0.000
Se: 0.000 0.000 0.500
Rb: 0.500 0.500 0.500

Properties
SG: P4/mmm
V: 28.39 Å³ per atom
E_form (uncorrected): 0.00 eV per atom
offset from the most stable computed form: 0 meV per atom
crystal system: tetragonal
uncorrected energy: -15.4 eV per cell



Entry 7:
Tb4TlPdRu2: relaxed, PBE-GGA.

a b c (Å): 4.993 4.993 8.712
angles (deg): 73.35 73.35 60.00
Atoms (fractional coordinates):
Tb: 0.381 0.381 0.856
Tb: 0.871 0.871 0.388
Tb: 0.129 0.129 0.612
Tb: 0.619 0.619 0.144
Tl: 0.000 0.000 0.000
Pd: 0.500 0.500 0.500
Ru: 0.750 0.750 0.750
Ru: 0.250 0.250 0.250

Properties
SG: R-3m
V: 22.19 Å³ per atom
crystal system: trigonal
uncorrected energy: -48.0 eV per cell



Entry 8:
TbPm2Ga: relaxed, PBE-GGA.

a b c (Å): 3.687 6.688 9.931
angles (deg): 90.00 90.00 106.00
Atoms (fractional coordinates):
Tb: 0.944 0.889 0.250
Tb: 0.056 0.111 0.750
Pm: 0.364 0.728 0.547
Pm: 0.636 0.272 0.453
Pm: 0.636 0.272 0.047
Pm: 0.364 0.728 0.953
Ga: 0.256 0.513 0.250
Ga: 0.744 0.487 0.750

Properties
SG: Cmcm
V: 29.43 Å³ per atom
offset from the most stable computed form: 0 meV per atom
crystal system: orthorhombic
uncorrected energy: -36.4 eV per cell